Record 1
The following is a DFT calculation (meta-GGA SCAN) of HfBe3Tc at its PBEsol-relaxed geometry.

Unit cell a=4.303 b=4.303 c=4.303 alpha=90.00 beta=90.00 gamma=90.00
Space group Pm-3m (No. 221)
Inequivalent atoms, fractional coordinates:
Hf 0.000 0.000 0.000 (multiplicity 1)
Be 0.000 0.000 0.500 (multiplicity 3)
Tc 0.500 0.500 0.500 (multiplicity 1)

Calculated values
E_form   2012 meV/atom
DOS(E_F)   0.652 states/eV per atom

=====

Record 2
The following is a DFT calculation (meta-GGA SCAN) of HfTi2Be at its PBEsol-relaxed geometry.

Unit cell a=7.084 b=7.084 c=5.187 alpha=90.00 beta=90.00 gamma=90.00
Space group I-42d (No. 122)
Inequivalent atoms, fractional coordinates:
Hf 0.000 0.000 0.000 (multiplicity 4)
Ti 0.208 0.250 0.625 (multiplicity 8)
Be 0.000 0.000 0.500 (multiplicity 4)

Calculated values
E_form   359 meV/atom
DOS(E_F)   1.109 states/eV per atom

=====

Record 3
The following is a DFT calculation (meta-GGA SCAN) of Hf2Be2Tl at its PBEsol-relaxed geometry.

Unit cell a=6.346 b=6.346 c=3.931 alpha=90.00 beta=90.00 gamma=90.00
Space group P4/mbm (No. 127)
Inequivalent atoms, fractional coordinates:
Hf 0.165 0.335 0.000 (multiplicity 4)
Be 0.119 0.619 0.500 (multiplicity 4)
Tl 0.000 0.000 0.500 (multiplicity 2)

Calculated values
E_form   -226 meV/atom
DOS(E_F)   0.282 states/eV per atom

=====

Record 4
The following is a DFT calculation (meta-GGA SCAN) of Y3HfBe at its PBEsol-relaxed geometry.

Unit cell a=5.411 b=5.411 c=5.411 alpha=90.00 beta=90.00 gamma=90.00
Space group Pm-3m (No. 221)
Inequivalent atoms, fractional coordinates:
Y 0.000 0.000 0.500 (multiplicity 3)
Hf 0.000 0.000 0.000 (multiplicity 1)
Be 0.500 0.500 0.500 (multiplicity 1)

Calculated values
E_form   1084 meV/atom
DOS(E_F)   0.962 states/eV per atom

=====

Record 5
The following is a DFT calculation (meta-GGA SCAN) of Hf2Be2Zn at its PBEsol-relaxed geometry.

Unit cell a=4.070 b=4.070 c=10.028 alpha=90.00 beta=90.00 gamma=90.00
Space group I4/mmm (No. 139)
Inequivalent atoms, fractional coordinates:
Hf 0.000 0.500 0.250 (multiplicity 4)
Be 0.000 0.000 0.096 (multiplicity 4)
Zn 0.000 0.000 0.500 (multiplicity 2)

Calculated values
E_form   516 meV/atom
DOS(E_F)   0.639 states/eV per atom
Energy above the lowest structure with this stoichiometry   0.790 eV per atom

=====

Record 6
The following is a DFT calculation (meta-GGA SCAN) of Hf2Be2Zn at its PBEsol-relaxed geometry.

Unit cell a=6.116 b=6.116 c=3.875 alpha=90.00 beta=90.00 gamma=90.00
Space group P4/mbm (No. 127)
Inequivalent atoms, fractional coordinates:
Hf 0.172 0.328 0.000 (multiplicity 4)
Be 0.126 0.626 0.500 (multiplicity 4)
Zn 0.000 0.000 0.500 (multiplicity 2)

Calculated values
E_form   -274 meV/atom
DOS(E_F)   0.267 states/eV per atom
Energy above the lowest structure with this stoichiometry   0.000 eV per atom

=====

> DOS(E_F) of number 4 (Y3HfBe)?

0.962 states/eV per atom

=====

> The highest DOS(E_F) belongs to which entry?

HfTi2Be

=====

> What is the E_form in the sixth record?

-274 meV/atom